No. 1
The following is a PBE calculation of a relaxed SrLiGeN2 crystal, from the Alexandria database.

## Properties
- SG = No. 67
- E (eV/atom) = -5.033

a = 6.446 Å, b = 6.446 Å, c = 5.319 Å
α = 90.00°, β = 90.00°, γ = 131.27°
Atoms (fractional coordinates):
1 Sr 0.250 0.750 0.781
2 Sr 0.750 0.250 0.219
3 Li 0.000 0.000 0.500
4 Li 0.500 0.500 0.500
5 Ge 0.250 0.250 0.000
6 Ge 0.750 0.750 0.000
7 N 0.094 0.906 0.170
8 N 0.406 0.594 0.170
9 N 0.594 0.406 0.830
10 N 0.906 0.094 0.830

No. 2
The following is a PBE calculation of a relaxed ZrAu2Br crystal, from the Alexandria database.

## Properties
- energy relative to the lowest polymorph listed for this composition (meV per atom) = 337
- SG = No. 47
- E (eV/atom) = -4.311

a = 3.292 Å, b = 4.588 Å, c = 5.421 Å
α = 90.00°, β = 90.00°, γ = 90.00°
Atoms (fractional coordinates):
1 Zr 0.000 0.000 0.000
2 Au 0.000 0.500 0.500
3 Au 0.500 0.000 0.500
4 Br 0.500 0.500 0.000

No. 3
The following is a PBE calculation of a relaxed Ho2ThPb9 crystal, from the Alexandria database.

## Properties
- SG = No. 123
- E (eV/atom) = -4.409
- E_form (eV/f.u.) = -3.0

a = 4.889 Å, b = 4.889 Å, c = 14.633 Å
α = 90.00°, β = 90.00°, γ = 90.00°
Atoms (fractional coordinates):
1 Ho 0.000 0.000 0.172
2 Ho 0.000 0.000 0.828
3 Th 0.000 0.000 0.500
4 Pb 0.000 0.500 0.000
5 Pb 0.000 0.500 0.331
6 Pb 0.000 0.500 0.669
7 Pb 0.500 0.000 0.000
8 Pb 0.500 0.000 0.331
9 Pb 0.500 0.000 0.669
10 Pb 0.500 0.500 0.165
11 Pb 0.500 0.500 0.500
12 Pb 0.500 0.500 0.835

No. 4
The following is a PBE calculation of a relaxed Ho7Tm2Pu crystal, from the Alexandria database.

## Properties
- SG = No. 65
- E (eV/atom) = -5.056
- E_form (eV/f.u.) = 4.8

a = 10.090 Å, b = 10.090 Å, c = 3.424 Å
α = 90.00°, β = 90.00°, γ = 108.21°
Atoms (fractional coordinates):
1 Ho 0.000 0.000 0.000
2 Ho 0.109 0.372 0.000
3 Ho 0.175 0.825 0.500
4 Ho 0.372 0.109 0.000
5 Ho 0.628 0.891 0.000
6 Ho 0.825 0.175 0.500
7 Ho 0.891 0.628 0.000
8 Tm 0.336 0.664 0.000
9 Tm 0.664 0.336 0.000
10 Pu 0.500 0.500 0.500